# YHo3Ag2

An optimized crystal structure of YHo3Ag2 (PBE, the Alexandria database).

Unit cell a=8.6235 b=8.6235 c=8.6235 alpha=131.96 beta=72.43 gamma=129.29
Last column: nearest neighbours and their distance in Å.
Atoms (fractional coordinates):
Y1 0.0000 0.0000 0.0000  2 Ag 2.90
Y2 0.5000 0.5000 0.0000  2 Ag 2.90
Ho1 0.0215 0.2500 0.7715  4 Ag 2.93-3.05
Ho2 0.2500 0.7500 0.5000  4 Ag 3.05
Ho3 0.4785 0.2500 0.2285  4 Ag 2.93-3.05
Ho4 0.5215 0.7500 0.7715  4 Ag 2.93-3.05
Ho5 0.7500 0.2500 0.5000  4 Ag 3.05
Ho6 0.9785 0.7500 0.2285  4 Ag 2.93-3.05
Ag1 0.1427 0.6998 0.8425  1 Y 2.90, 6 Ho 2.93-3.05
Ag2 0.3573 0.1998 0.5570  1 Y 2.90, 6 Ho 2.93-3.05
Ag3 0.6427 0.8002 0.4430  1 Y 2.90, 6 Ho 2.93-3.05
Ag4 0.8573 0.3002 0.1575  1 Y 2.90, 6 Ho 2.93-3.05

## Properties
- E_tot: -25.74 eV/f.u.
- Energy above the lowest structure with this stoichiometry: 231 meV/atom
- Formation enthalpy at 0 K: 0.0267 eV/atom
- Size of the total moment: 0.0 μB/cell